w) The following is a DFT calculation (PBE) of a geometry-optimized HfZnFeOs structure.

a = 4.4452 Å, b = 4.4452 Å, c = 4.4452 Å
α = 60.00°, β = 60.00°, γ = 60.00°
Last column: nearest neighbours and their distance in Å.
Fractional positions:
Os (0.5000, 0.5000, 0.5000)  4 Hf 2.72, 4 Fe 2.72
Fe (0.7500, 0.7500, 0.7500)  4 Os 2.72, 4 Zn 2.72
Hf (0.2500, 0.2500, 0.2500)  4 Os 2.72, 4 Zn 2.72
Zn (0.0000, 0.0000, 0.0000)  4 Hf 2.72, 4 Fe 2.72

* magnetic moment: 3.41 μB/f.u.
* density: 13100 kg/m3

---

x) The following is a DFT calculation (PBE) of a geometry-optimized HfZnFeOs structure.

a = 4.3949 Å, b = 4.3949 Å, c = 4.3949 Å
α = 60.00°, β = 60.00°, γ = 60.00°
Last column: nearest neighbours and their distance in Å.
Fractional positions:
Fe (0.7500, 0.7500, 0.7500)  4 Zn 2.69, 4 Hf 2.69
Os (0.2500, 0.2500, 0.2500)  4 Hf 2.69, 4 Zn 2.69
Hf (0.5000, 0.5000, 0.5000)  4 Fe 2.69, 4 Os 2.69
Zn (0.0000, 0.0000, 0.0000)  4 Fe 2.69, 4 Os 2.69

* magnetic moment: 1.87 μB/f.u.
* density: 13554 kg/m3

---

Most stable structure, least stable structure: x), w).

---

w) The following is a DFT calculation (PBE) of a geometry-optimized HfFePtPb structure.

a = 4.6401 Å, b = 4.6401 Å, c = 4.6401 Å
α = 60.00°, β = 60.00°, γ = 60.00°
Last column: nearest neighbours and their distance in Å.
Fractional positions:
Hf (0.2500, 0.2500, 0.2500)  4 Pb 2.84, 4 Pt 2.84
Fe (0.7500, 0.7500, 0.7500)  4 Pb 2.84, 4 Pt 2.84
Pb (0.0000, 0.0000, 0.0000)  4 Fe 2.84, 4 Hf 2.84
Pt (0.5000, 0.5000, 0.5000)  4 Hf 2.84, 4 Fe 2.84

* magnetic moment: 2.50 μB/f.u.
* density: 14965 kg/m3

---

x) The following is a DFT calculation (PBE) of a geometry-optimized HfFePtPb structure.

a = 4.6647 Å, b = 4.6647 Å, c = 4.6647 Å
α = 60.00°, β = 60.00°, γ = 60.00°
Last column: nearest neighbours and their distance in Å.
Fractional positions:
Fe (0.7500, 0.7500, 0.7500)  4 Pb 2.86, 4 Hf 2.86
Hf (0.5000, 0.5000, 0.5000)  4 Fe 2.86, 4 Pt 2.86
Pt (0.2500, 0.2500, 0.2500)  4 Hf 2.86, 4 Pb 2.86
Pb (0.0000, 0.0000, 0.0000)  4 Fe 2.86, 4 Pt 2.86

* magnetic moment: 1.86 μB/f.u.
* density: 14729 kg/m3

---

Most stable structure, least stable structure: x), w).

---

w) The following is a DFT calculation (PBE) of a geometry-optimized HfFeSiPd structure.

a = 4.3708 Å, b = 4.3708 Å, c = 4.3708 Å
α = 60.00°, β = 60.00°, γ = 60.00°
Last column: nearest neighbours and their distance in Å.
Fractional positions:
Fe (0.7500, 0.7500, 0.7500)  4 Hf 2.68, 4 Si 2.68
Pd (0.2500, 0.2500, 0.2500)  4 Si 2.68, 4 Hf 2.68
Hf (0.5000, 0.5000, 0.5000)  4 Fe 2.68, 4 Pd 2.68
Si (0.0000, 0.0000, 0.0000)  4 Pd 2.68, 4 Fe 2.68

* magnetic moment: 1.62 μB/f.u.
* density: 10373 kg/m3

---

x) The following is a DFT calculation (PBE) of a geometry-optimized HfFeSiPd structure.

a = 4.4386 Å, b = 4.4386 Å, c = 4.4386 Å
α = 60.00°, β = 60.00°, γ = 60.00°
Last column: nearest neighbours and their distance in Å.
Fractional positions:
Si (0.0000, 0.0000, 0.0000)  4 Hf 2.72, 4 Fe 2.72
Pd (0.5000, 0.5000, 0.5000)  4 Hf 2.72, 4 Fe 2.72
Fe (0.7500, 0.7500, 0.7500)  4 Si 2.72, 4 Pd 2.72
Hf (0.2500, 0.2500, 0.2500)  4 Si 2.72, 4 Pd 2.72

* magnetic moment: 2.48 μB/f.u.
* density: 9905 kg/m3

---

Most stable structure, least stable structure: w), x).

---

w) The following is a DFT calculation (PBE) of a geometry-optimized HfFeSiPt structure.

a = 4.3958 Å, b = 4.3958 Å, c = 4.3958 Å
α = 60.00°, β = 60.00°, γ = 60.00°
Last column: nearest neighbours and their distance in Å.
Fractional positions:
Hf (0.5000, 0.5000, 0.5000)  4 Pt 2.69, 4 Fe 2.69
Si (0.0000, 0.0000, 0.0000)  4 Pt 2.69, 4 Fe 2.69
Pt (0.2500, 0.2500, 0.2500)  4 Si 2.69, 4 Hf 2.69
Fe (0.7500, 0.7500, 0.7500)  4 Hf 2.69, 4 Si 2.69

* magnetic moment: 1.85 μB/f.u.
* density: 12649 kg/m3

---

x) The following is a DFT calculation (PBE) of a geometry-optimized HfFeSiPt structure.

a = 4.4551 Å, b = 4.4551 Å, c = 4.4551 Å
α = 60.00°, β = 60.00°, γ = 60.00°
Last column: nearest neighbours and their distance in Å.
Fractional positions:
Pt (0.5000, 0.5000, 0.5000)  4 Fe 2.73, 4 Hf 2.73
Fe (0.7500, 0.7500, 0.7500)  4 Si 2.73, 4 Pt 2.73
Hf (0.2500, 0.2500, 0.2500)  4 Pt 2.73, 4 Si 2.73
Si (0.0000, 0.0000, 0.0000)  4 Fe 2.73, 4 Hf 2.73

* magnetic moment: 2.52 μB/f.u.
* density: 12151 kg/m3

---

Most stable structure, least stable structure: w), x).